Below is a crystal of TlPt4Pb relaxed with PBEsol, with properties calculated at the SCAN level.

Properties
Its space group is F-43m. The energy relative to the elements is -0.10 eV/atom.

Unit cell a=5.3935 b=5.3935 c=5.3935 alpha=60.00 beta=60.00 gamma=60.00
Last column: nearest neighbours and their distance in Å.
Atoms (fractional coordinates):
Pb (0.0000, 0.0000, 0.0000)  12 Pt 3.16, 4 Tl 3.30
Tl (0.7500, 0.7500, 0.7500)  12 Pt 3.16, 4 Pb 3.30
Pt (0.3752, 0.3752, 0.3752)  6 Pt 2.69-2.70
Pt (0.3752, 0.3752, 0.8745)  6 Pt 2.69-2.70
Pt (0.8745, 0.3752, 0.3752)  6 Pt 2.69-2.70
Pt (0.3752, 0.8745, 0.3752)  6 Pt 2.69-2.70